## CaCe2Au6 (PBE)

Data for CaCe2Au6 after structural relaxation.

CIF file:
```
data_CaCe2Au6
_chemical_formula_sum 'Ca2 Ce4 Au12'
_symmetry_space_group_name_H-M 'I m m m'
_symmetry_Int_Tables_number 71
_symmetry_space_group_name_Hall '-I 2 2'
_cell_length_a 3.723
_cell_length_b 7.743
_cell_length_c 14.970
_cell_angle_alpha 90.00
_cell_angle_beta 90.00
_cell_angle_gamma 90.00
loop_
_atom_site_label
_atom_site_type_symbol
_atom_site_fract_x
_atom_site_fract_y
_atom_site_fract_z
Ca1 Ca 0.000 0.000 0.000
Ce1 Ce 0.000 0.500 0.141
Au1 Au 0.000 0.185 0.500
Au2 Au 0.000 0.314 0.324
```

## Properties
DFT formation energy ... -0.6174 eV per atom